{"formula": "Cd3BCl", "functional": "PBE", "state": "relaxed", "formation_energy_uncorrected_ev_per_fu": -0.08, "vol_a3_per_atom": 20.58, "e_above_lowest_polymorph_ev_per_atom": 0.000, "lattice": [[-3.839, 1.243, 2.381], [-2.522, -3.098, -2.449], [0.925, -3.288, 3.208]], "species": ["B", "Cl", "Cd", "Cd", "Cd"], "frac_coords": [[0.000, 0.000, 0.000], [0.500, 0.500, 0.500], [0.000, 0.500, 0.000], [0.000, 0.000, 0.500], [0.500, 0.000, 0.000]]}

=====

{"formula": "CsCdB2Cl", "functional": "PBE", "state": "relaxed", "formation_energy_uncorrected_ev_per_fu": 10.85, "vol_a3_per_atom": 50.31, "lattice": [[5.971, 0.000, 0.000], [0.000, 7.056, 0.000], [0.000, 0.000, 5.971]], "species": ["Cs", "B", "B", "Cl", "Cd"], "frac_coords": [[0.000, 0.000, 0.000], [0.000, 0.000, 0.500], [0.500, 0.000, 0.000], [0.500, 0.500, 0.500], [0.000, 0.500, 0.000]]}

=====

{"formula": "CsCdB2Cl8", "functional": "PBE", "state": "relaxed", "formation_energy_uncorrected_ev_per_fu": -12.55, "vol_a3_per_atom": 29.33, "lattice": [[6.416, 0.000, 0.000], [3.208, 5.556, 0.000], [3.208, 1.852, 9.872]], "species": ["Cs", "Cd", "B", "B", "Cl", "Cl", "Cl", "Cl", "Cl", "Cl", "Cl", "Cl"], "frac_coords": [[0.500, 0.500, 0.500], [0.000, 0.000, 0.000], [0.250, 0.250, 0.249], [0.750, 0.750, 0.751], [0.187, 0.187, 0.438], [0.525, 0.309, 0.187], [0.813, 0.813, 0.562], [0.979, 0.525, 0.187], [0.021, 0.475, 0.813], [0.309, 0.979, 0.187], [0.691, 0.021, 0.813], [0.475, 0.691, 0.813]]}

=====

{"formula": "CdBClF4", "functional": "PBE", "state": "relaxed", "formation_energy_uncorrected_ev_per_fu": -16.22, "vol_a3_per_atom": 17.30, "lattice": [[-3.100, 4.966, 1.477], [-5.550, -1.600, 1.760], [-0.962, 0.697, 7.833]], "species": ["Cd", "Cd", "B", "B", "Cl", "Cl", "F", "F", "F", "F", "F", "F", "F", "F"], "frac_coords": [[0.184, 0.184, 0.810], [0.816, 0.816, 0.190], [0.603, 0.603, 0.698], [0.397, 0.397, 0.302], [0.086, 0.086, 0.158], [0.914, 0.914, 0.842], [0.357, 0.357, 0.501], [0.643, 0.643, 0.499], [0.169, 0.497, 0.263], [0.558, 0.558, 0.196], [0.503, 0.831, 0.737], [0.497, 0.169, 0.263], [0.442, 0.442, 0.804], [0.831, 0.503, 0.737]]}

=====

{"formula": "CdBCl2F", "functional": "PBE", "state": "relaxed", "formation_energy_uncorrected_ev_per_fu": -0.34, "vol_a3_per_atom": 23.45, "lattice": [[-0.189, 4.938, 1.765], [-0.658, -1.438, 3.954], [5.181, -0.097, 0.827]], "species": ["F", "Cl", "Cl", "B", "Cd"], "frac_coords": [[0.000, 0.500, 0.000], [0.000, 0.000, 0.500], [0.500, 0.000, 0.000], [0.500, 0.500, 0.500], [0.000, 0.000, 0.000]]}

=====

{"formula": "CdFeBCl2", "functional": "PBE", "state": "relaxed", "formation_energy_uncorrected_ev_per_fu": 1.85, "vol_a3_per_atom": 19.23, "lattice": [[-1.521, 4.609, 1.068], [-1.785, 0.211, -3.453], [-4.147, -1.839, 2.031]], "species": ["B", "Cl", "Cl", "Fe", "Cd"], "frac_coords": [[0.000, 0.500, 0.000], [0.000, 0.000, 0.500], [0.500, 0.000, 0.000], [0.000, 0.000, 0.000], [0.500, 0.500, 0.500]]}

=====

{"formula": "CdB2ICl", "functional": "PBE", "state": "relaxed", "formation_energy_uncorrected_ev_per_fu": 8.53, "vol_a3_per_atom": 27.24, "lattice": [[-0.227, 4.519, -1.116], [-5.041, 0.655, 3.673], [2.763, 1.030, 3.609]], "species": ["I", "B", "B", "Cl", "Cd"], "frac_coords": [[0.500, 0.500, 0.500], [0.000, 0.000, 0.500], [0.500, 0.000, 0.000], [0.000, 0.000, 0.000], [0.000, 0.500, 0.000]]}

=====

{"formula": "Cd2InBCl", "functional": "PBE", "state": "relaxed", "formation_energy_uncorrected_ev_per_fu": 6.03, "vol_a3_per_atom": 34.02, "lattice": [[-5.092, -1.299, 1.525], [-0.909, -2.393, -5.073], [1.802, -4.790, 1.936]], "species": ["Cl", "B", "Cd", "Cd", "In"], "frac_coords": [[0.000, 0.000, 0.000], [0.500, 0.500, 0.500], [0.000, 0.000, 0.500], [0.500, 0.000, 0.000], [0.000, 0.500, 0.000]]}